This record from Alexandria via LeMat-Bulk describes an optimized crystal structure of Cd2In7Sn3. The functional is PBE-GGA.

DOS at the Fermi energy, states/eV per atom: 0.280
Total magnetic moment, μB per atom: 0.00
Raw total energy, eV per atom: -2.70
Crystal system: monoclinic

Lattice parameters (Å, degrees): 5.7925 3.2475 17.3455 90.00 91.45 90.00
Last column: nearest neighbours and their distance in Å.
Sites, in units of the cell vectors:
Cd 0.1998 0.0000 0.1686  4 In 3.12-3.43, 2 Cd 3.25, 4 Sn 3.30-3.34
Cd 0.8002 0.0000 0.8314  4 In 3.12-3.43, 2 Cd 3.25, 4 Sn 3.30-3.34
In 0.0000 0.5000 0.5000  6 In 3.25-3.35, 4 Sn 3.32
In 0.1112 0.0000 0.6657  8 In 3.25-3.35, 2 Sn 3.41, 1 Cd 3.43
In 0.2494 0.0000 0.9897  4 In 2.92-3.25, 1 Cd 3.12, 2 Sn 3.25
In 0.3847 0.5000 0.3324  6 In 3.25-3.34, 3 Sn 3.38-3.39, 2 Cd 3.42
In 0.6153 0.5000 0.6676  6 In 3.25-3.34, 3 Sn 3.38-3.39, 2 Cd 3.42
In 0.7506 0.0000 0.0103  4 In 2.92-3.25, 1 Cd 3.12, 2 Sn 3.25
In 0.8888 0.0000 0.3343  8 In 3.25-3.35, 2 Sn 3.41, 1 Cd 3.43
Sn 0.2966 0.5000 0.8288  5 In 3.25-3.41, 2 Sn 3.25, 4 Cd 3.30-3.34
Sn 0.5000 0.0000 0.5000  2 Sn 3.25, 8 In 3.32-3.38
Sn 0.7034 0.5000 0.1712  5 In 3.25-3.41, 2 Sn 3.25, 4 Cd 3.30-3.34

=====

This record from Alexandria via LeMat-Bulk describes an optimized crystal structure of Y4PuCd5. The functional is PBE-GGA.

DOS at the Fermi energy, states/eV per atom: 1.539
Total magnetic moment, μB per atom: 0.60
Raw total energy, eV per atom: -4.74
Crystal system: tetragonal

Lattice parameters (Å, degrees): 3.7425 3.7425 18.9323 90.00 90.00 90.00
Last column: nearest neighbours and their distance in Å.
Sites, in units of the cell vectors:
Y 0.0000 0.0000 0.0993  8 Cd 3.25
Y 0.0000 0.0000 0.2979  8 Cd 3.21-3.25
Y 0.0000 0.0000 0.7021  8 Cd 3.21-3.25
Y 0.0000 0.0000 0.9007  8 Cd 3.25
Pu 0.0000 0.0000 0.5000  8 Cd 3.32
Cd 0.5000 0.5000 0.0000  8 Y 3.25
Cd 0.5000 0.5000 0.1985  8 Y 3.25
Cd 0.5000 0.5000 0.3937  4 Y 3.21, 4 Pu 3.32
Cd 0.5000 0.5000 0.6063  4 Y 3.21, 4 Pu 3.32
Cd 0.5000 0.5000 0.8015  8 Y 3.25

=====

This record from Alexandria via LeMat-Bulk describes an optimized crystal structure of DyB2Ru3. The functional is PBE-GGA.

DOS at the Fermi energy, states/eV per atom: 0.745
Total magnetic moment, μB per atom: 0.00
Raw total energy, eV per atom: -8.10
Crystal system: hexagonal

Lattice parameters (Å, degrees): 5.5215 5.5215 3.0223 90.00 90.00 120.00
Last column: nearest neighbours and their distance in Å.
Sites, in units of the cell vectors:
Dy 0.0000 0.0000 0.0000  2 Dy 3.02, 12 Ru 3.15, 6 B 3.19
B 0.3333 0.6667 0.0000  6 Ru 2.20
B 0.6667 0.3333 0.0000  6 Ru 2.20
Ru 0.0000 0.5000 0.5000  4 B 2.20
Ru 0.5000 0.0000 0.5000  4 B 2.20
Ru 0.5000 0.5000 0.5000  4 B 2.20

=====

This record from Alexandria via LeMat-Bulk describes an optimized crystal structure of Rb2RuCBr6. The functional is PBE-GGA.

DOS at the Fermi energy, states/eV per atom: 1.163
Total magnetic moment, μB per atom: 0.29
Raw total energy, eV per atom: -3.25
Uncorrected formation energy, meV/atom: -207
Crystal system: tetragonal

Lattice parameters (Å, degrees): 7.6736 7.6736 7.6736 124.48 124.48 82.40
Last column: nearest neighbours and their distance in Å.
Sites, in units of the cell vectors:
Rb 0.2500 0.7500 0.5000  12 Br 3.59-3.84
Rb 0.7500 0.2500 0.5000  12 Br 3.59-3.84
Ru 0.0000 0.0000 0.0000  6 Br 2.53-2.59
C 0.5000 0.5000 0.0000  4 Br 2.46
Br 0.2188 0.2188 0.0000  1 Ru 2.53
Br 0.2562 0.2562 0.5124  1 C 2.46, 1 Ru 2.59
Br 0.2562 0.7438 0.0000  1 C 2.46, 1 Ru 2.59
Br 0.7438 0.2562 0.0000  1 C 2.46, 1 Ru 2.59
Br 0.7438 0.7438 0.4876  1 C 2.46, 1 Ru 2.59
Br 0.7812 0.7812 0.0000  1 Ru 2.53

=====

This record from Alexandria via LeMat-Bulk describes an optimized crystal structure of HoMgTe2O8. The functional is PBE-GGA.

DOS at the Fermi energy, states/eV per atom: 0.188
Total magnetic moment, μB per atom: 0.00
Raw total energy, eV per atom: -5.98
Uncorrected formation energy, meV/atom: -1636
Crystal system: tetragonal

Lattice parameters (Å, degrees): 6.0880 6.0880 6.0880 107.66 107.66 113.15
Last column: nearest neighbours and their distance in Å.
Sites, in units of the cell vectors:
Ho 0.0000 0.0000 0.0000  8 O 2.27-2.46
Mg 0.7500 0.2500 0.5000  8 O 2.25-2.45
Te 0.2500 0.7500 0.5000  4 O 1.88
Te 0.5000 0.5000 0.0000  4 O 1.90
O 0.0547 0.3667 0.3121  1 Te 1.88
O 0.0547 0.7426 0.6879  1 Te 1.88
O 0.1130 0.3047 0.8083  1 Te 1.90
O 0.2574 0.9453 0.3121  1 Te 1.88
O 0.4965 0.3047 0.1917  1 Te 1.90
O 0.6333 0.9453 0.6879  1 Te 1.88
O 0.6953 0.5035 0.8083  1 Te 1.90
O 0.6953 0.8870 0.1917  1 Te 1.90

=====

This record from Alexandria via LeMat-Bulk describes an optimized crystal structure of InGa2Ag. The functional is PBE-GGA.

DOS at the Fermi energy, states/eV per atom: 0.221
Total magnetic moment, μB per atom: 0.00
Raw total energy, eV per atom: -2.89
Crystal system: monoclinic

Lattice parameters (Å, degrees): 4.0722 8.1018 5.4030 90.00 110.43 90.00
Last column: nearest neighbours and their distance in Å.
Sites, in units of the cell vectors:
In 0.0725 0.2500 0.1289  3 Ag 2.87-3.00, 4 Ga 3.18-3.19
In 0.9275 0.7500 0.8711  3 Ag 2.87-3.00, 4 Ga 3.18-3.19
Ga 0.3618 0.0394 0.7329  3 Ag 2.77-2.81, 1 Ga 2.78
Ga 0.3618 0.4606 0.7329  3 Ag 2.77-2.81, 1 Ga 2.78
Ga 0.6382 0.5394 0.2671  3 Ag 2.77-2.81, 1 Ga 2.78
Ga 0.6382 0.9606 0.2671  3 Ag 2.77-2.81, 1 Ga 2.78
Ag 0.2236 0.7500 0.4368  6 Ga 2.77-2.81, 3 In 2.87-3.00
Ag 0.7764 0.2500 0.5632  6 Ga 2.77-2.81, 3 In 2.87-3.00

=====

This record from Alexandria via LeMat-Bulk describes an optimized crystal structure of RbTc3Pt. The functional is PBE-GGA.

DOS at the Fermi energy, states/eV per atom: 1.786
Total magnetic moment, μB per atom: 1.57
Raw total energy, eV per atom: -5.74
Crystal system: cubic

Lattice parameters (Å, degrees): 5.0205 5.0205 5.0205 90.00 90.00 90.00
Last column: nearest neighbours and their distance in Å.
Sites, in units of the cell vectors:
Rb 0.0000 0.0000 0.0000  12 Tc 3.55
Tc 0.0000 0.5000 0.5000  2 Pt 2.51
Tc 0.5000 0.0000 0.5000  2 Pt 2.51
Tc 0.5000 0.5000 0.0000  2 Pt 2.51
Pt 0.5000 0.5000 0.5000  6 Tc 2.51

=====

This record from Alexandria via LeMat-Bulk describes an optimized crystal structure of Zr4Hg. The functional is PBE-GGA.

DOS at the Fermi energy, states/eV per atom: 1.539
Total magnetic moment, μB per atom: 0.00
Raw total energy, eV per atom: -6.87
Crystal system: orthorhombic

Lattice parameters (Å, degrees): 8.4029 8.4029 8.4029 146.28 137.05 55.69
Last column: nearest neighbours and their distance in Å.
Sites, in units of the cell vectors:
Zr 0.0000 0.0000 0.0000  8 Zr 2.96-3.25, 4 Hg 3.30
Zr 0.2043 0.1995 0.0048  5 Zr 2.86-3.14, 2 Hg 3.20
Zr 0.3053 0.8005 0.5048  5 Zr 2.86-3.14, 2 Hg 3.20
Zr 0.3513 0.6013 0.7500  3 Hg 3.08-3.11, 10 Zr 3.22-3.32
Zr 0.5000 0.0000 0.5000  8 Zr 2.96-3.25, 4 Hg 3.30
Zr 0.6487 0.3987 0.2500  3 Hg 3.08-3.11, 10 Zr 3.22-3.32
Zr 0.6947 0.1995 0.4952  5 Zr 2.86-3.14, 2 Hg 3.20
Zr 0.7957 0.8005 0.9952  5 Zr 2.86-3.14, 2 Hg 3.20
Hg 0.1423 0.3923 0.7500  13 Zr 3.08-3.30
Hg 0.8577 0.6077 0.2500  13 Zr 3.08-3.30

=====

This record from Alexandria via LeMat-Bulk describes an optimized crystal structure of Tc2PtCl. The functional is PBE-GGA.

DOS at the Fermi energy, states/eV per atom: 1.007
Total magnetic moment, μB per atom: 0.00
Raw total energy, eV per atom: -6.76
Uncorrected formation energy, meV/atom: 398
Crystal system: monoclinic

Lattice parameters (Å, degrees): 2.8441 4.0433 5.5804 90.00 103.10 90.00
Last column: nearest neighbours and their distance in Å.
Sites, in units of the cell vectors:
Tc 0.0000 0.0000 0.0000  2 Cl 2.43, 1 Pt 2.61, 2 Tc 2.69
Tc 0.3868 0.5000 0.7895  1 Cl 2.31
Pt 0.7719 0.0000 0.5193  5 Tc 2.61-2.88, 2 Cl 2.76, 2 Pt 2.84
Cl 0.3712 0.5000 0.2014  3 Tc 2.31-2.43

=====

This record from Alexandria via LeMat-Bulk describes an optimized crystal structure of ZnAgIr2. The functional is PBE-GGA.

DOS at the Fermi energy, states/eV per atom: 1.516
Total magnetic moment, μB per atom: 0.00
Raw total energy, eV per atom: -5.15
Crystal system: tetragonal

Lattice parameters (Å, degrees): 3.8591 3.8591 8.1916 90.00 90.00 90.00
Last column: nearest neighbours and their distance in Å.
Sites, in units of the cell vectors:
Zn 0.0000 0.0000 0.0000  4 Ag 2.73, 8 Ir 2.81
Zn 0.5000 0.5000 0.5000  4 Ag 2.73, 8 Ir 2.81
Ag 0.0000 0.0000 0.5000  4 Zn 2.73, 8 Ir 2.81
Ag 0.5000 0.5000 0.0000  4 Zn 2.73, 8 Ir 2.81
Ir 0.0000 0.5000 0.2500  4 Ir 2.73, 4 Zn 2.81, 4 Ag 2.81
Ir 0.0000 0.5000 0.7500  4 Ir 2.73, 4 Zn 2.81, 4 Ag 2.81
Ir 0.5000 0.0000 0.2500  4 Ir 2.73, 4 Zn 2.81, 4 Ag 2.81
Ir 0.5000 0.0000 0.7500  4 Ir 2.73, 4 Zn 2.81, 4 Ag 2.81

=====

This record from Alexandria via LeMat-Bulk describes an optimized crystal structure of ZnOs2Rh. The functional is PBE-GGA.

DOS at the Fermi energy, states/eV per atom: 0.789
Total magnetic moment, μB per atom: 0.00
Raw total energy, eV per atom: -7.66
Crystal system: monoclinic

Lattice parameters (Å, degrees): 8.9881 2.7195 4.7377 90.00 99.35 90.00
Last column: nearest neighbours and their distance in Å.
Sites, in units of the cell vectors:
Zn 0.0000 0.0000 0.0000  3 Rh 2.55-2.67, 5 Os 2.69-2.78, 2 Zn 2.72
Zn 0.5000 0.5000 0.0000  3 Rh 2.55-2.67, 5 Os 2.69-2.78, 2 Zn 2.72
Os 0.2402 0.0000 0.6955  5 Os 2.59-2.72, 4 Rh 2.72-2.75, 3 Zn 2.78-2.88
Os 0.4946 0.0000 0.5076  5 Os 2.59-2.72, 4 Zn 2.69-2.77, 2 Rh 2.78
Os 0.7402 0.5000 0.6955  5 Os 2.59-2.72, 4 Rh 2.72-2.75, 3 Zn 2.78-2.88
Os 0.9946 0.5000 0.5076  5 Os 2.59-2.72, 4 Zn 2.69-2.77, 2 Rh 2.78
Rh 0.2519 0.5000 0.1954  3 Zn 2.55-2.67, 6 Os 2.72-2.78, 2 Rh 2.72
Rh 0.7519 0.0000 0.1954  3 Zn 2.55-2.67, 6 Os 2.72-2.78, 2 Rh 2.72

=====

This record from Alexandria via LeMat-Bulk describes an optimized crystal structure of TbSc2Cd8. The functional is PBE-GGA.

DOS at the Fermi energy, states/eV per atom: 0.576
Total magnetic moment, μB per atom: 0.00
Raw total energy, eV per atom: -2.42
Crystal system: monoclinic

Lattice parameters (Å, degrees): 8.7582 8.7582 5.2612 106.95 106.95 125.65
Last column: nearest neighbours and their distance in Å.
Sites, in units of the cell vectors:
Tb 0.0000 0.0000 0.0000  6 Cd 3.14-3.39
Sc 0.3130 0.6870 0.5000  12 Cd 3.09-3.21
Sc 0.6870 0.3130 0.5000  12 Cd 3.09-3.21
Cd 0.1002 0.3690 0.7447  5 Cd 2.89-3.11, 3 Sc 3.14-3.21
Cd 0.2016 0.7984 0.0000  6 Cd 3.03-3.25, 4 Sc 3.09-3.15, 1 Tb 3.14
Cd 0.3690 0.1002 0.7447  5 Cd 2.89-3.11, 3 Sc 3.14-3.21
Cd 0.4867 0.4867 0.7344  2 Cd 2.61-2.66
Cd 0.5133 0.5133 0.2656  2 Cd 2.61-2.66
Cd 0.6310 0.8998 0.2553  5 Cd 2.89-3.11, 3 Sc 3.14-3.21
Cd 0.7984 0.2016 0.0000  6 Cd 3.03-3.25, 4 Sc 3.09-3.15, 1 Tb 3.14
Cd 0.8998 0.6310 0.2553  5 Cd 2.89-3.11, 3 Sc 3.14-3.21

=====

This record from Alexandria via LeMat-Bulk describes an optimized crystal structure of HfSc5Ni4. The functional is PBE-GGA.

DOS at the Fermi energy, states/eV per atom: 0.629
Total magnetic moment, μB per atom: 0.00
Raw total energy, eV per atom: -6.86
Crystal system: tetragonal

Lattice parameters (Å, degrees): 3.1649 3.1649 17.3061 90.00 90.00 90.00
Last column: nearest neighbours and their distance in Å.
Sites, in units of the cell vectors:
Hf 0.0000 0.0000 0.0000  4 Hf 3.16, 8 Sc 3.19
Sc 0.5000 0.5000 0.1314  4 Ni 2.76
Sc 0.5000 0.5000 0.3153  8 Ni 2.73-2.75
Sc 0.5000 0.5000 0.5000  8 Ni 2.75
Sc 0.5000 0.5000 0.6847  8 Ni 2.73-2.75
Sc 0.5000 0.5000 0.8686  4 Ni 2.76
Ni 0.0000 0.0000 0.2249  8 Sc 2.73-2.76
Ni 0.0000 0.0000 0.4074  8 Sc 2.75
Ni 0.0000 0.0000 0.5926  8 Sc 2.75
Ni 0.0000 0.0000 0.7751  8 Sc 2.73-2.76

=====

| no. | calculated volume (Å³ per cell) |
| --- | --- |
| 1 | 326.2 |
| 2 | 265.2 |
| 3 | 79.8 |
| 4 | 295.0 |
| 5 | 173.2 |
| 6 | 167.0 |
| 7 | 126.5 |
| 8 | 222.8 |
| 9 | 62.5 |
| 10 | 122.0 |
| 11 | 114.3 |
| 12 | 252.4 |
| 13 | 173.4 |